Compound: YCoAu2
Source: Alexandria
Functional: PBE-GGA
Structure: optimized geometry

```
data_YCoAu2
_chemical_formula_sum 'Y2 Co2 Au4'
_cell_length_a 4.1700
_cell_length_b 4.1828
_cell_length_c 8.3605
_cell_angle_alpha 90.00
_cell_angle_beta 90.00
_cell_angle_gamma 90.00
_space_group_name_H-M_alt 'I m m 2'
_space_group_IT_number 44
_space_group_name_Hall 'I 2 -2'
loop_
_atom_site_label
_atom_site_fract_x
_atom_site_fract_y
_atom_site_fract_z
_atom_site_occupancy
Y1 0.0000 0.0000 0.0000 1
Co1 0.0000 0.5000 0.2499 1
Au1 0.0000 0.0000 0.5008 1
Au2 0.0000 0.5000 0.7504 1
```

Values from the calculation:
calculated formation energy: -301 meV per atom